Record 1
DFT (PBE) results for SmHoCo3 after structural relaxation.

V in Å³/atom: 18.7
Crystal system: orthorhombic
E_tot in eV per atom: -6.2902
Space group: No. 63
Formation energy in eV/atom: -0.167

a = 11.7964 Å, b = 11.7964 Å, c = 3.8985 Å
α = 90.00°, β = 90.00°, γ = 159.84°
Sites, in units of the cell vectors:
Sm 0.0711 0.9289 0.7500
Sm 0.9289 0.0711 0.2500
Ho 0.2054 0.7946 0.2500
Ho 0.7946 0.2054 0.7500
Co 0.3307 0.6693 0.2500
Co 0.3779 0.6221 0.7500
Co 0.4758 0.5242 0.7500
Co 0.5242 0.4758 0.2500
Co 0.6221 0.3779 0.2500
Co 0.6693 0.3307 0.7500



Record 2
DFT (PBE) results for Re2PCl after structural relaxation.

V in Å³/atom: 14.8
Crystal system: orthorhombic
E_tot in eV per atom: -7.3879
Offset from the most stable computed form in eV/atom: 0.625
Formation energy without anion corrections in eV per atom: 0.650
Space group: No. 44

a = 5.6606 Å, b = 5.6606 Å, c = 5.6606 Å
α = 150.18°, β = 138.77°, γ = 51.71°
Sites, in units of the cell vectors:
Re 0.0000 0.0000 0.0000
Re 0.7549 0.2549 0.5000
P 0.5607 0.5607 0.0000
Cl 0.2937 0.7937 0.5000



Record 3
DFT (PBE) results for La3HgP after structural relaxation.

V in Å³/atom: 29.7
Crystal system: monoclinic
E_tot in eV per atom: -4.8401
Offset from the most stable computed form in eV/atom: 0.000
Space group: No. 12
Formation energy in eV/atom: -0.741

a = 8.4484 Å, b = 8.4484 Å, c = 6.4254 Å
α = 92.18°, β = 92.18°, γ = 40.46°
Sites, in units of the cell vectors:
La 0.0057 0.0057 0.2451
La 0.1955 0.1955 0.4975
La 0.3432 0.3432 0.0175
La 0.6568 0.6568 0.9825
La 0.8045 0.8045 0.5025
La 0.9943 0.9943 0.7549
Hg 0.4073 0.4073 0.5235
Hg 0.5927 0.5927 0.4765
P 0.1580 0.1580 0.9910
P 0.8420 0.8420 0.0090



Record 4
DFT (PBE) results for Cr3CuOs after structural relaxation.

V in Å³/atom: 20.3
Crystal system: cubic
E_tot in eV per atom: -7.4094
Offset from the most stable computed form in eV/atom: 0.000
Space group: No. 221
Formation energy in eV/atom: 1.430

a = 4.6637 Å, b = 4.6637 Å, c = 4.6637 Å
α = 90.00°, β = 90.00°, γ = 90.00°
Sites, in units of the cell vectors:
Cr 0.0000 0.0000 0.5000
Cr 0.0000 0.5000 0.0000
Cr 0.5000 0.0000 0.0000
Cu 0.5000 0.5000 0.5000
Os 0.0000 0.0000 0.0000



Record 5
DFT (PBE) results for CrRe2Si after structural relaxation.

V in Å³/atom: 13.8
Crystal system: orthorhombic
E_tot in eV per atom: -9.7861
Formation energy without anion corrections in eV per atom: 0.200
Space group: No. 65

a = 2.7176 Å, b = 2.7176 Å, c = 8.1404 Å
α = 90.00°, β = 90.00°, γ = 113.25°
Sites, in units of the cell vectors:
Cr 0.0000 0.0000 0.0000
Re 0.5000 0.5000 0.2540
Re 0.5000 0.5000 0.7460
Si 0.0000 0.0000 0.5000



Record 6
DFT (PBE) results for Ac3PbO4 after structural relaxation.

V in Å³/atom: 24.6
Crystal system: tetragonal
E_tot in eV per atom: -7.2245
Formation energy without anion corrections in eV per atom: -2.741
Space group: No. 123

a = 4.2516 Å, b = 4.2516 Å, c = 10.8688 Å
α = 90.00°, β = 90.00°, γ = 90.00°
Sites, in units of the cell vectors:
Ac 0.0000 0.0000 0.0000
Ac 0.5000 0.5000 0.2434
Ac 0.5000 0.5000 0.7566
Pb 0.0000 0.0000 0.5000
O 0.0000 0.5000 0.1429
O 0.0000 0.5000 0.8571
O 0.5000 0.0000 0.1429
O 0.5000 0.0000 0.8571



Record 7
DFT (PBE) results for Rb2Cd3In after structural relaxation.

V in Å³/atom: 35.7
Crystal system: orthorhombic
E_tot in eV per atom: -1.3128
Offset from the most stable computed form in eV/atom: 0.000
Space group: No. 51
Formation energy in eV/atom: -0.076

a = 6.1844 Å, b = 7.2001 Å, c = 9.6323 Å
α = 90.00°, β = 90.00°, γ = 90.00°
Sites, in units of the cell vectors:
Rb 0.2500 0.0000 0.1167
Rb 0.2500 0.5000 0.3508
Rb 0.7500 0.0000 0.8833
Rb 0.7500 0.5000 0.6492
Cd 0.0000 0.0000 0.5000
Cd 0.2500 0.2144 0.7166
Cd 0.2500 0.7856 0.7166
Cd 0.5000 0.0000 0.5000
Cd 0.7500 0.2144 0.2834
Cd 0.7500 0.7856 0.2834
In 0.2500 0.5000 0.9356
In 0.7500 0.5000 0.0644



Record 8
DFT (PBE) results for DyEr6Sc8 after structural relaxation.

V in Å³/atom: 27.7
Crystal system: trigonal
E_tot in eV per atom: -5.3668
Offset from the most stable computed form in eV/atom: 0.104
Space group: No. 148
Formation energy in eV/atom: 0.142

a = 8.2195 Å, b = 8.2195 Å, c = 8.2195 Å
α = 62.64°, β = 62.64°, γ = 62.64°
Sites, in units of the cell vectors:
Dy 0.0000 0.0000 0.0000
Er 0.1068 0.2236 0.5396
Er 0.2236 0.5396 0.1068
Er 0.4604 0.8932 0.7764
Er 0.5396 0.1068 0.2236
Er 0.7764 0.4604 0.8932
Er 0.8932 0.7764 0.4604
Sc 0.1102 0.7448 0.7162
Sc 0.2552 0.2838 0.8898
Sc 0.2838 0.8898 0.2552
Sc 0.4256 0.4256 0.4256
Sc 0.5744 0.5744 0.5744
Sc 0.7162 0.1102 0.7448
Sc 0.7448 0.7162 0.1102
Sc 0.8898 0.2552 0.2838



Record 9
DFT (PBE) results for La6Sn2Ir after structural relaxation.

V in Å³/atom: 31.3
Crystal system: orthorhombic
E_tot in eV per atom: -5.7746
Space group: No. 38
Formation energy in eV/atom: -0.616

a = 4.3887 Å, b = 8.6134 Å, c = 8.6134 Å
α = 119.96°, β = 90.00°, γ = 90.00°
Sites, in units of the cell vectors:
La 0.0000 0.0000 0.0000
La 0.0000 0.5241 0.7615
La 0.0000 0.7615 0.5241
La 0.5000 0.1699 0.7616
La 0.5000 0.3531 0.3531
La 0.5000 0.7616 0.1699
Sn 0.0000 0.0948 0.4284
Sn 0.0000 0.4284 0.0948
Ir 0.5000 0.7631 0.7631



Record 10
DFT (PBE) results for Dy3S3N after structural relaxation.

V in Å³/atom: 21.1
Crystal system: orthorhombic
E_tot in eV per atom: -6.9227
Formation energy without anion corrections in eV per atom: -1.992
Space group: No. 62

a = 11.9600 Å, b = 3.8248 Å, c = 12.9415 Å
α = 90.00°, β = 90.00°, γ = 90.00°
Sites, in units of the cell vectors:
Dy 0.0488 0.2500 0.1417
Dy 0.0637 0.2500 0.6330
Dy 0.2103 0.2500 0.8587
Dy 0.2897 0.7500 0.3587
Dy 0.4363 0.7500 0.1330
Dy 0.4512 0.7500 0.6417
Dy 0.5488 0.2500 0.3583
Dy 0.5637 0.2500 0.8670
Dy 0.7103 0.2500 0.6413
Dy 0.7897 0.7500 0.1413
Dy 0.9363 0.7500 0.3670
Dy 0.9512 0.7500 0.8583
S 0.0949 0.2500 0.4017
S 0.1328 0.7500 0.9899
S 0.2234 0.7500 0.6917
S 0.2766 0.2500 0.1917
S 0.3672 0.2500 0.4899
S 0.4051 0.7500 0.9017
S 0.5949 0.2500 0.0983
S 0.6328 0.7500 0.5101
S 0.7234 0.7500 0.8083
S 0.7766 0.2500 0.3083
S 0.8672 0.2500 0.0101
S 0.9051 0.7500 0.5983
N 0.0331 0.2500 0.7987
N 0.4670 0.7500 0.2987
N 0.5330 0.2500 0.7013
N 0.9670 0.7500 0.2013



Record 11
DFT (PBE) results for ScTlHg2 after structural relaxation.

V in Å³/atom: 24.4
Crystal system: tetragonal
E_tot in eV per atom: -2.4908
Space group: No. 123
Formation energy in eV/atom: -0.165

a = 3.7139 Å, b = 3.7139 Å, c = 7.0801 Å
α = 90.00°, β = 90.00°, γ = 90.00°
Sites, in units of the cell vectors:
Sc 0.0000 0.0000 0.0000
Tl 0.0000 0.0000 0.5000
Hg 0.5000 0.5000 0.2225
Hg 0.5000 0.5000 0.7775



Record 12
DFT (PBE) results for LaY5Tm3 after structural relaxation.

V in Å³/atom: 33.3
Crystal system: monoclinic
E_tot in eV per atom: -5.2997
Offset from the most stable computed form in eV/atom: 0.058
Space group: No. 15
Formation energy in eV/atom: 0.329

a = 10.0572 Å, b = 10.0572 Å, c = 11.1783 Å
α = 111.88°, β = 111.88°, γ = 35.17°
Sites, in units of the cell vectors:
La 0.1284 0.8716 0.7500
La 0.8716 0.1284 0.2500
Y 0.0890 0.5744 0.9707
Y 0.0918 0.5814 0.3064
Y 0.3904 0.6096 0.2500
Y 0.4186 0.9082 0.1936
Y 0.4256 0.9110 0.5293
Y 0.5744 0.0890 0.4707
Y 0.5814 0.0918 0.8064
Y 0.6096 0.3904 0.7500
Y 0.9082 0.4186 0.6936
Y 0.9110 0.4256 0.0293
Tm 0.0000 0.0000 0.0000
Tm 0.0000 0.0000 0.5000
Tm 0.0576 0.5886 0.6358
Tm 0.4114 0.9424 0.8642
Tm 0.5886 0.0576 0.1358
Tm 0.9424 0.4114 0.3642



Number 1: density 8.74 Mg/m³. Number 2: density 12.32 Mg/m³. Number 3: density 7.24 Mg/m³. Number 4: density 6.71 Mg/m³. Number 5: density 13.60 Mg/m³. Number 6: density 8.05 Mg/m³. Number 7: density 4.82 Mg/m³. Number 8: density 6.09 Mg/m³. Number 9: density 7.43 Mg/m³. Number 10: density 6.71 Mg/m³. Number 11: density 11.06 Mg/m³. Number 12: density 6.04 Mg/m³.